Record 1
This record from Alexandria via LeMat-Bulk describes crystalline NdEuHfFeO6 at its relaxed geometry. The functional is PBE+U.

Output
Calculated density: 8.37 g/cm³
VASP energy: -86.16 eV/cell
Space-group type: F-43m

a b c (Å): 5.6010 5.6010 5.6010
angles (deg): 60.00 60.00 60.00
Closest atoms and distances in Å follow each position.
Fractional coordinates of all 10 atoms:
O1 0.2435 0.7565 0.7565  1 Fe 1.93, 1 Hf 2.03
O2 0.7565 0.7565 0.2435  1 Fe 1.93, 1 Hf 2.03
O3 0.2435 0.2435 0.7565  1 Fe 1.93, 1 Hf 2.03
O4 0.7565 0.2435 0.2435  1 Fe 1.93, 1 Hf 2.03
O5 0.7565 0.2435 0.7565  1 Fe 1.93, 1 Hf 2.03
O6 0.2435 0.7565 0.2435  1 Fe 1.93, 1 Hf 2.03
Eu1 0.2500 0.2500 0.2500  12 O 2.80
Hf1 0.5000 0.5000 0.5000  6 O 2.03
Nd1 0.7500 0.7500 0.7500  12 O 2.80
Fe1 0.0000 0.0000 0.0000  6 O 1.93



Record 2
This record from Alexandria via LeMat-Bulk describes crystalline Eu2HfFeO6 at its relaxed geometry. The functional is PBE+U.

Output
Calculated density: 8.06 g/cm³
VASP energy: -92.99 eV/cell
Space-group type: Fm-3m

a b c (Å): 5.6966 5.6966 5.6966
angles (deg): 60.00 60.00 60.00
Closest atoms and distances in Å follow each position.
Fractional coordinates of all 10 atoms:
O1 0.2464 0.7536 0.7536  1 Fe 1.99, 1 Hf 2.04
O2 0.7536 0.2464 0.7536  1 Fe 1.99, 1 Hf 2.04
O3 0.2464 0.7536 0.2464  1 Fe 1.99, 1 Hf 2.04
O4 0.7536 0.7536 0.2464  1 Fe 1.99, 1 Hf 2.04
O5 0.2464 0.2464 0.7536  1 Fe 1.99, 1 Hf 2.04
O6 0.7536 0.2464 0.2464  1 Fe 1.99, 1 Hf 2.04
Fe1 0.0000 0.0000 0.0000  6 O 1.99
Hf1 0.5000 0.5000 0.5000  6 O 2.04
Eu1 0.7500 0.7500 0.7500  12 O 2.85
Eu2 0.2500 0.2500 0.2500  12 O 2.85



Record 3
This record from Alexandria via LeMat-Bulk describes crystalline PrEuHfFeO6 at its relaxed geometry. The functional is PBE+U.

Output
Calculated density: 8.29 g/cm³
VASP energy: -86.25 eV/cell
Space-group type: F-43m

a b c (Å): 5.6087 5.6087 5.6087
angles (deg): 60.00 60.00 60.00
Closest atoms and distances in Å follow each position.
Fractional coordinates of all 10 atoms:
O1 0.7564 0.2436 0.7564  1 Fe 1.93, 1 Hf 2.03
O2 0.7564 0.7564 0.2436  1 Fe 1.93, 1 Hf 2.03
O3 0.2436 0.7564 0.2436  1 Fe 1.93, 1 Hf 2.03
O4 0.2436 0.7564 0.7564  1 Fe 1.93, 1 Hf 2.03
O5 0.7564 0.2436 0.2436  1 Fe 1.93, 1 Hf 2.03
O6 0.2436 0.2436 0.7564  1 Fe 1.93, 1 Hf 2.03
Hf1 0.5000 0.5000 0.5000  6 O 2.03
Eu1 0.7500 0.7500 0.7500  12 O 2.80
Fe1 0.0000 0.0000 0.0000  6 O 1.93
Pr1 0.2500 0.2500 0.2500  12 O 2.80



Record 4
This record from Alexandria via LeMat-Bulk describes crystalline SmEuHfFeO6 at its relaxed geometry. The functional is PBE+U.

Output
Calculated density: 8.51 g/cm³
VASP energy: -85.87 eV/cell
Space-group type: F-43m

a b c (Å): 5.5893 5.5893 5.5893
angles (deg): 60.00 60.00 60.00
Closest atoms and distances in Å follow each position.
Fractional coordinates of all 10 atoms:
Fe1 0.0000 0.0000 0.0000  6 O 1.92
O1 0.7567 0.2433 0.7567  1 Fe 1.92, 1 Hf 2.03
O2 0.2433 0.7567 0.2433  1 Fe 1.92, 1 Hf 2.03
O3 0.7567 0.7567 0.2433  1 Fe 1.92, 1 Hf 2.03
O4 0.2433 0.7567 0.7567  1 Fe 1.92, 1 Hf 2.03
O5 0.2433 0.2433 0.7567  1 Fe 1.92, 1 Hf 2.03
O6 0.7567 0.2433 0.2433  1 Fe 1.92, 1 Hf 2.03
Hf1 0.5000 0.5000 0.5000  6 O 2.03
Eu1 0.7500 0.7500 0.7500  12 O 2.80
Sm1 0.2500 0.2500 0.2500  12 O 2.80